# Co2PF2 | the Alexandria database | PBE with a Hubbard U | optimized geometry
# Space-group type: No. 127
# Polymorph energy (0 for the lowest one) (kJ/mol of formula units): 30
data_Co2PF2
_chemical_formula_sum 'Co4 P2 F4'
_cell_length_a 6.852
_cell_length_b 6.852
_cell_length_c 3.410
_cell_angle_alpha 90.00
_cell_angle_beta 90.00
_cell_angle_gamma 90.00
_symmetry_space_group_name_H-M 'P 1'
_symmetry_Int_Tables_number 1
loop_
_symmetry_equiv_pos_as_xyz
'x,y,z'
loop_
_atom_site_label
_atom_site_type_symbol
_atom_site_fract_x
_atom_site_fract_y
_atom_site_fract_z
_atom_site_occupancy
Co1 Co 0.276 0.224 0.000 1
Co2 Co 0.776 0.276 0.000 1
F1 F 0.372 0.128 0.500 1
Co3 Co 0.224 0.724 0.000 1
P1 P 0.000 0.000 0.000 1
F2 F 0.128 0.628 0.500 1
F3 F 0.872 0.372 0.500 1
Co4 Co 0.724 0.776 0.000 1
P2 P 0.500 0.500 0.000 1
F4 F 0.628 0.872 0.500 1